# ThGaSn

ThGaSn after structural relaxation (GGA-PBE, the Alexandria database).

Results
* energy of formation from the pure elements: -261 meV/atom
* Fermi-level density of states: 2.30 states/eV/f.u.

Geometry as extended XYZ:
```
9
Lattice="-1.7789 -2.7433 -4.0197 -2.5279 -0.0934 4.5220 -5.5343 7.8834 -2.9310" Properties=species:S:1:pos:R:3 pbc="T T T"
Ga -5.0454 2.9650 0.2093
Ga -2.7759 -0.7954 -1.5683
Ga -6.8155 4.9588 -3.7076
Th -6.7148 5.3430 -0.6748
Th -4.7957 2.0817 -2.6379
Th -3.3760 0.5870 1.0934
Sn -1.8817 2.6804 -0.9965
Sn -3.6526 5.2030 -1.9344
Sn 0.0000 0.0000 0.0000
```